Ag2H5Pd4 | PBE-GGA | optimized geometry

## Properties
**Raw total energy**: -3.9440 eV per atom
**Density of states at the Fermi level**: 2.88 states/eV/cell
**M_tot**: 0.00 Bohr magnetons per cell

a = 2.832 Å, b = 4.990 Å, c = 9.648 Å
α = 95.51°, β = 98.42°, γ = 90.63°
Space group P-1 (No. 2)
One atom of each set of equivalent atoms:
Ag1 0.046 0.168 0.135 x2
H1 0.000 0.500 0.000 x1
H2 0.282 0.897 0.570 x2
H3 0.350 0.325 0.689 x2
Pd1 0.186 0.888 0.377 x2
Pd2 0.459 0.334 0.875 x2

***

HfTa2Rh2 | PBE-GGA | optimized geometry

## Properties
**Energy above the lowest structure with this stoichiometry**: 0 meV/atom
**Density of states at the Fermi level**: 9.02 states/eV/cell
**M_tot**: 0.00 Bohr magnetons per cell

a = 7.552 Å, b = 7.552 Å, c = 3.081 Å
α = 90.00°, β = 90.00°, γ = 90.00°
Space group P4/mbm (No. 127)
One atom of each set of equivalent atoms:
Hf1 0.000 0.000 0.000 x2
Ta1 0.170 0.330 0.500 x4
Rh1 0.129 0.629 0.000 x4

***

TbTiV | PBE-GGA | optimized geometry

## Properties
**Raw total energy**: -6.9332 eV per atom
**Density of states at the Fermi level**: 26.35 states/eV/cell
**M_tot**: 0.00 Bohr magnetons per cell

a = 4.1492 Å, b = 4.1492 Å, c = 27.1061 Å
α = 90.00°, β = 90.00°, γ = 120.00°
Space group R-3m (No. 166, hexagonal axes)
One atom of each set of equivalent atoms:
Tb1 0.0000 0.0000 0.2150 x6
Ti1 0.0000 0.0000 0.0485 x6
V1 0.0000 0.0000 0.3436 x6

***

KSrSc | PBE-GGA | optimized geometry

## Properties
**Energy above the lowest structure with this stoichiometry**: 5 meV/atom
**Density of states at the Fermi level**: 18.23 states/eV/cell
**M_tot**: 0.00 Bohr magnetons per cell

a = 4.345 Å, b = 6.021 Å, c = 19.660 Å
α = 90.00°, β = 90.00°, γ = 90.00°
Space group Fmm2 (No. 42)
One atom of each set of equivalent atoms:
K1 0.000 0.000 0.000 x4
Sr1 0.000 0.000 0.304 x4
Sc1 0.000 0.000 0.665 x4

***

NaHPt3 | PBE-GGA | optimized geometry

## Properties
**Energy above the lowest structure with this stoichiometry**: 2147 meV/atom
**Density of states at the Fermi level**: 4.00 states/eV/cell
**M_tot**: 1.83 Bohr magnetons per cell

a = 4.694 Å, b = 4.694 Å, c = 4.694 Å
α = 90.00°, β = 90.00°, γ = 90.00°
Space group Pm-3m (No. 221)
One atom of each set of equivalent atoms:
Na1 0.000 0.000 0.000 x1
H1 0.500 0.500 0.500 x1
Pt1 0.000 0.000 0.500 x3

***

ScTlTc | PBE-GGA | optimized geometry

## Properties
**Energy above the lowest structure with this stoichiometry**: 795 meV/atom
**Density of states at the Fermi level**: 29.93 states/eV/cell
**M_tot**: 1.83 Bohr magnetons per cell

a = 6.486 Å, b = 6.486 Å, c = 6.486 Å
α = 90.00°, β = 90.00°, γ = 90.00°
Space group F-43m (No. 216)
One atom of each set of equivalent atoms:
Sc1 0.000 0.000 0.000 x4
Tl1 0.250 0.250 0.750 x4
Tc1 0.250 0.250 0.250 x4

***

Sc3P2Ir3Rh4 | PBE-GGA | optimized geometry

## Properties
**Raw total energy**: -7.8205 eV per atom
**Density of states at the Fermi level**: 10.61 states/eV/cell
**M_tot**: 0.00 Bohr magnetons per cell

a = 3.988 Å, b = 24.442 Å, c = 4.110 Å
α = 90.00°, β = 90.00°, γ = 90.00°
Space group Imm2 (No. 44)
One atom of each set of equivalent atoms:
Sc1 0.000 0.000 0.000 x2
Sc2 0.000 0.195 0.742 x4
P1 0.000 0.426 0.737 x4
Ir1 0.000 0.120 0.234 x4
Ir2 0.000 0.500 0.062 x2
Rh1 0.000 0.301 0.742 x4
Rh2 0.000 0.385 0.239 x4

***

PaNb2S6 | PBE-GGA | optimized geometry

## Properties
**Uncorrected formation energy**: -1.099 eV per atom
**Energy above the lowest structure with this stoichiometry**: 0 meV/atom
**Density of states at the Fermi level**: 10.64 states/eV/cell
**M_tot**: 0.00 Bohr magnetons per cell

a = 6.0792 Å, b = 6.0792 Å, c = 19.4409 Å
α = 90.00°, β = 90.00°, γ = 120.00°
Space group R-3 (No. 148, hexagonal axes)
One atom of each set of equivalent atoms:
Pa1 0.0000 0.0000 0.0000 x3
Nb1 0.0000 0.0000 0.1670 x6
S1 0.0001 0.3370 0.4235 x18

***

What is the M_tot in the first record? 0.00 Bohr magnetons per cell